No. 1
## Ba2Li6Au3 (PBE)

Data for Ba2Li6Au3 after structural relaxation.

abc: 8.439 8.439 4.430
angles: 90.00 90.00 120.00
Sites, in units of the cell vectors:
Ba (0.333, 0.667, 0.000)
Ba (0.667, 0.333, 0.000)
Li (0.000, 0.265, 0.500)
Li (0.000, 0.801, 0.000)
Li (0.199, 0.199, 0.000)
Li (0.265, 0.000, 0.500)
Li (0.735, 0.735, 0.500)
Li (0.801, 0.000, 0.000)
Au (0.000, 0.628, 0.500)
Au (0.372, 0.372, 0.500)
Au (0.628, 0.000, 0.500)

Energy relative to the elements (eV/atom): -0.3986
Space-group type: No. 189
N(E_F) (states/eV per cell): 4.09
Total magnetic moment (μB/f.u.): 0.0

No. 2
## BaLiAu2 (PBE)

Data for BaLiAu2 after structural relaxation.

abc: 3.728 3.712 7.140
angles: 90.00 90.08 90.00
Sites, in units of the cell vectors:
Ba (0.000, 0.000, 0.000)
Li (0.000, 0.000, 0.500)
Au (0.499, 0.500, 0.695)
Au (0.501, 0.500, 0.305)

Energy relative to the elements (eV/atom): -0.5439
Space-group type: No. 10
Distance to the lowest polymorph of the same formula (kcal/mol of atoms): 2.54
N(E_F) (states/eV per cell): 1.90
Total magnetic moment (μB/f.u.): 0.0